Entry 1:
Compound: In2SnBiAu4
Source: the Alexandria database
Functional: PBE
Structure: relaxed

```
In2SnBiAu4
1.0
0.0000 5.7327 3.6689
4.5985 0.0000 3.6689
4.5985 5.7327 0.0000
In Sn Bi Au
2 1 1 4
direct
0.0000 0.0000 0.5000
0.5000 0.5000 0.0000
0.2439 0.2439 0.7561
0.7450 0.7450 0.2550
0.0066 0.4932 0.5068
0.2449 0.7446 0.7551
0.4932 0.0066 0.9934
0.7446 0.2449 0.2554
```

Output
- Calculated formation energy: -10.4 kJ per mole of atoms
- Calculated volume: 24.18 Å³/atom
- ρ: 11.55 g cm⁻³
- Spin magnetization: 0.00 μB/f.u.
- E_tot: -3.416 eV/atom
- D(E_F): 0.417 states/eV/atom

Entry 2:
Compound: InSn2BiAu4
Source: the Alexandria database
Functional: PBE
Structure: relaxed

```
InSn2BiAu4
1.0
0.0000 5.7419 4.1254
4.1435 0.0000 4.1254
4.1435 5.7419 0.0000
In Sn Bi Au
1 2 1 4
direct
0.0000 0.0000 0.0000
0.2474 0.2474 0.2526
0.7474 0.7474 0.7526
0.4980 0.4980 0.5020
0.2410 0.7538 0.2462
0.4998 0.9981 0.5002
0.7538 0.2410 0.7590
0.9981 0.4998 0.0019
```

Output
- Calculated formation energy: -10.3 kJ per mole of atoms
- Calculated volume: 24.54 Å³/atom
- ρ: 11.41 g cm⁻³
- Spin magnetization: 0.00 μB/f.u.
- E_tot: -3.573 eV/atom
- D(E_F): 0.396 states/eV/atom

Entry 3:
Compound: In2SnBi2Au7
Source: the Alexandria database
Functional: PBE
Structure: relaxed

```
In2SnBi2Au7
1.0
3.0425 -2.9582 0.0000
3.0425 2.9582 0.0000
-1.6812 0.0000 15.9802
In Sn Bi Au
2 1 2 7
direct
0.0792 0.0792 0.2562
0.9208 0.9208 0.7438
0.5000 0.5000 0.0000
0.4002 0.4002 0.5866
0.5998 0.5998 0.4134
0.0000 0.0000 0.0000
0.0429 0.5452 0.1394
0.1031 0.1031 0.4245
0.4548 0.9571 0.8606
0.5452 0.0429 0.1394
0.8969 0.8969 0.5755
0.9571 0.4548 0.8606
```

Output
- Calculated formation energy: -3.7 kJ per mole of atoms
- Calculated volume: 23.97 Å³/atom
- ρ: 12.38 g cm⁻³
- Spin magnetization: 0.00 μB/f.u.
- E_tot: -3.387 eV/atom
- D(E_F): 0.278 states/eV/atom

Entry 4:
Compound: InSnBiAu2
Source: the Alexandria database
Functional: PBE
Structure: relaxed

```
InSnBiAu2
1.0
6.9111 -2.2769 0.0000
6.9111 2.2769 0.0000
-6.6338 0.0000 8.2809
In Sn Bi Au
2 2 2 4
direct
0.1339 0.1339 0.0544
0.8661 0.8661 0.9456
0.2576 0.2576 0.6353
0.7424 0.7424 0.3647
0.4674 0.4674 0.3262
0.5326 0.5326 0.6738
0.0879 0.0879 0.2858
0.2118 0.2118 0.8600
0.7882 0.7882 0.1400
0.9121 0.9121 0.7142
```

Output
- Calculated formation energy: -11.4 kJ per mole of atoms
- Calculated volume: 26.06 Å³/atom
- ρ: 10.66 g cm⁻³
- Spin magnetization: 0.00 μB/f.u.
- E_tot: -3.554 eV/atom
- D(E_F): 0.357 states/eV/atom

Entry 5:
Compound: Sr2InBiAu6
Source: the Alexandria database
Functional: PBE
Structure: relaxed

```
Sr2InBiAu6
1.0
0.0000 5.3480 5.3480
5.3480 0.0000 5.3480
5.3480 5.3480 0.0000
Sr In Bi Au
2 1 1 6
direct
0.2500 0.2500 0.2500
0.7500 0.7500 0.7500
0.0000 0.0000 0.0000
0.5000 0.5000 0.5000
0.2450 0.2450 0.7550
0.2450 0.7550 0.2450
0.2450 0.7550 0.7550
0.7550 0.2450 0.2450
0.7550 0.2450 0.7550
0.7550 0.7550 0.2450
```

Output
- Calculated formation energy: -16.1 kJ per mole of atoms
- Calculated volume: 30.59 Å³/atom
- ρ: 9.12 g cm⁻³
- Spin magnetization: 0.00 μB/f.u.
- E_tot: -3.131 eV/atom
- D(E_F): 0.366 states/eV/atom

Entry 6:
Compound: Ta2InBiAu
Source: the Alexandria database
Functional: PBE
Structure: relaxed

```
Ta2InBiAu
1.0
5.1306 0.0000 0.0000
0.0000 5.1306 0.0000
0.0000 0.0000 5.0342
Ta In Bi Au
2 1 1 1
direct
0.0000 0.5000 0.0000
0.5000 0.0000 0.0000
0.0000 0.0000 0.5000
0.5000 0.5000 0.5000
0.0000 0.0000 0.0000
```

Output
- Calculated formation energy: 120.9 kJ per mole of atoms
- Calculated volume: 26.50 Å³/atom
- ρ: 11.06 g cm⁻³
- Spin magnetization: 2.04 μB/f.u.
- E_tot: -5.468 eV/atom
- D(E_F): 1.133 states/eV/atom

Entry 7:
Compound: TlInBiAu
Source: the Alexandria database
Functional: PBE
Structure: relaxed

```
TlInBiAu
1.0
0.0000 3.7660 3.7660
3.7660 0.0000 3.7660
3.7660 3.7660 0.0000
Tl In Bi Au
1 1 1 1
direct
0.0000 0.0000 0.0000
0.2500 0.2500 0.2500
0.5000 0.5000 0.5000
0.7500 0.7500 0.7500
```

Output
- Calculated formation energy: 3.1 kJ per mole of atoms
- Calculated volume: 26.71 Å³/atom
- ρ: 11.27 g cm⁻³
- Offset from the most stable computed form: 9 meV/atom
- Spin magnetization: 0.00 μB/f.u.
- E_tot: -3.034 eV/atom
- D(E_F): 0.226 states/eV/atom

Entry 8:
Compound: TlIn2BiAu4
Source: the Alexandria database
Functional: PBE
Structure: relaxed

```
TlIn2BiAu4
1.0
0.0000 5.8423 3.8425
4.4296 0.0000 3.8425
4.4296 5.8423 0.0000
Tl In Bi Au
1 2 1 4
direct
0.0000 0.0000 0.0000
0.2439 0.2439 0.2561
0.7439 0.7439 0.7561
0.4990 0.4990 0.5010
0.2430 0.7442 0.2558
0.4997 0.9992 0.5003
0.7442 0.2430 0.7570
0.9992 0.4997 0.0008
```

Output
- Calculated formation energy: -5.0 kJ per mole of atoms
- Calculated volume: 24.86 Å³/atom
- ρ: 11.95 g cm⁻³
- Spin magnetization: 0.00 μB/f.u.
- E_tot: -3.156 eV/atom
- D(E_F): 0.479 states/eV/atom